Material: RbCuSb2S4
Method: DFT, PBE-GGA
State: relaxed

Cell lengths 6.7606, 6.7606, 10.8080 Å; angles 98.26, 98.26, 113.09 degrees
Closest atoms and distances in Å follow each position.
Fractional positions:
Rb  0.0196  0.9804  0.7500  8 S 3.45-3.59
Rb  0.9804  0.0196  0.2500  8 S 3.45-3.59
Cu  0.3978  0.6022  0.7500  4 S 2.25-2.49
Cu  0.6022  0.3978  0.2500  4 S 2.25-2.49
Sb  0.3054  0.6143  0.0712  3 S 2.46-2.69
Sb  0.3857  0.6946  0.4288  3 S 2.46-2.69
Sb  0.6143  0.3054  0.5712  3 S 2.46-2.69
Sb  0.6946  0.3857  0.9288  3 S 2.46-2.69
S  0.0788  0.5339  0.8535  2 Sb 2.47-2.69, 1 Cu 2.49
S  0.2659  0.3433  0.5662  1 Cu 2.25, 1 Sb 2.46
S  0.3433  0.2659  0.0662  1 Cu 2.25, 1 Sb 2.46
S  0.4661  0.9212  0.6465  2 Sb 2.47-2.69, 1 Cu 2.49
S  0.5339  0.0788  0.3535  2 Sb 2.47-2.69, 1 Cu 2.49
S  0.6567  0.7341  0.9338  1 Cu 2.25, 1 Sb 2.46
S  0.7341  0.6567  0.4338  1 Cu 2.25, 1 Sb 2.46
S  0.9212  0.4661  0.1465  2 Sb 2.47-2.69, 1 Cu 2.49

Values from the calculation:
**Energy**: -4.18 eV/atom